Entry 1:
{
  "formula": "K2SiTe5",
  "functional": "PBE",
  "state": "optimized geometry",
  "raw_formation_energy_ev_per_atom": -0.325,
  "dos_at_fermi_per_ev_fu": 1.7,
  "relative_energy_ev_per_atom": 0.031,
  "spacegroup": "P1 (1)",
  "lattice_angstrom": [[6.599, 0.000, 0.000], [2.775, 6.686, 0.000], [1.184, 1.755, 6.954]],
  "species": ["K", "K", "Si", "Te", "Te", "Te", "Te", "Te"],
  "frac_coords": [[0.000, 0.000, 0.000], [0.433, 0.484, 0.581], [0.011, 0.356, 0.421], [0.403, 0.113, 0.333], [0.487, 0.516, 0.049], [0.579, 0.887, 0.703], [0.973, 0.490, 0.044], [0.983, 0.980, 0.505]]
}

=====

Entry 2:
{
  "formula": "KSi2Te",
  "functional": "PBE",
  "state": "optimized geometry",
  "raw_formation_energy_ev_per_atom": 0.575,
  "dos_at_fermi_per_ev_fu": 3.0,
  "spacegroup": "F-43m (216)",
  "lattice_angstrom": [[0.000, 3.687, 3.687], [3.687, 0.000, 3.687], [3.687, 3.687, 0.000]],
  "species": ["K", "Si", "Si", "Te"],
  "frac_coords": [[0.000, 0.000, 0.000], [0.500, 0.500, 0.500], [0.750, 0.750, 0.750], [0.250, 0.250, 0.250]]
}

=====

Entry 3:
{
  "formula": "K3SiTe4",
  "functional": "PBE",
  "state": "optimized geometry",
  "raw_formation_energy_ev_per_atom": -0.648,
  "dos_at_fermi_per_ev_fu": 0.5,
  "relative_energy_ev_per_atom": 0.016,
  "spacegroup": "Imm2 (44)",
  "lattice_angstrom": [[-3.305, 7.152, 3.588], [3.305, -7.152, 3.588], [3.305, 7.152, -3.588]],
  "species": ["K", "K", "K", "Si", "Te", "Te", "Te", "Te"],
  "frac_coords": [[0.000, 0.000, 0.000], [0.199, 0.910, 0.289], [0.621, 0.910, 0.711], [0.747, 0.247, 0.500], [0.075, 0.423, 0.652], [0.493, 0.257, 0.765], [0.493, 0.728, 0.235], [0.771, 0.423, 0.348]]
}

=====

Entry 4:
{
  "formula": "KSi2Te",
  "functional": "PBE",
  "state": "optimized geometry",
  "raw_formation_energy_ev_per_atom": 0.470,
  "dos_at_fermi_per_ev_fu": 2.8,
  "spacegroup": "I-42d (122)",
  "lattice_angstrom": [[-4.210, 4.210, 3.201], [4.210, -4.210, 3.201], [4.210, 4.210, -3.201]],
  "species": ["K", "K", "Si", "Si", "Si", "Si", "Te", "Te"],
  "frac_coords": [[0.000, 0.000, 0.000], [0.750, 0.250, 0.500], [0.174, 0.625, 0.049], [0.375, 0.424, 0.549], [0.576, 0.125, 0.951], [0.875, 0.826, 0.451], [0.250, 0.750, 0.500], [0.500, 0.500, 0.000]]
}

=====

Entry 5:
{
  "formula": "KSi2Te",
  "functional": "PBE",
  "state": "optimized geometry",
  "raw_formation_energy_ev_per_atom": 0.203,
  "dos_at_fermi_per_ev_fu": 1.0,
  "spacegroup": "P4/mmm (123)",
  "lattice_angstrom": [[3.934, 0.000, 0.000], [0.000, 3.934, 0.000], [0.000, 0.000, 7.068]],
  "species": ["K", "Si", "Si", "Te"],
  "frac_coords": [[0.000, 0.000, 0.000], [0.500, 0.500, 0.335], [0.500, 0.500, 0.665], [0.000, 0.000, 0.500]]
}

=====

Entry 6:
{
  "formula": "KSi2Te",
  "functional": "PBE",
  "state": "optimized geometry",
  "raw_formation_energy_ev_per_atom": 0.493,
  "dos_at_fermi_per_ev_fu": 1.7,
  "spacegroup": "I-4m2 (119)",
  "lattice_angstrom": [[-2.317, 2.317, 4.539], [2.317, -2.317, 4.539], [2.317, 2.317, -4.539]],
  "species": ["K", "Si", "Si", "Te"],
  "frac_coords": [[0.000, 0.000, 0.000], [0.250, 0.750, 0.500], [0.500, 0.500, 0.000], [0.750, 0.250, 0.500]]
}

=====

- Which formula does entry 1 have?
  K2SiTe5